Record 1
First-principles (GGA-PBE) data for a geometry-optimized KLa2Hg structure, as listed in Alexandria.

Properties
Magnetic moment (μB per formula unit): 0.0
Final energy (eV per formula unit): -11.33

```
KLa2Hg
1.0
1.9218 1.1095 11.9459
-1.9218 1.1095 11.9459
0.0000 -2.2191 11.9459
K La Hg
1 2 1
direct
0.0000 0.0000 0.0000
0.2272 0.2272 0.2272
0.4810 0.4810 0.4810
0.7447 0.7447 0.7447
```

=====

Record 2
First-principles (GGA-PBE) data for a geometry-optimized Y4Si structure, as listed in Alexandria.

Properties
Magnetic moment (μB per formula unit): 0.0
ΔE_f (raw) (eV per formula unit): 1.995
Energy above the lowest structure with this stoichiometry (eV per atom): 0.442

```
Y4Si
1.0
-2.0644 2.0644 8.8641
2.0644 -2.0644 8.8641
2.0644 2.0644 -8.8641
Y Si
4 1
direct
0.0822 0.0822 0.0000
0.2500 0.7500 0.5000
0.7500 0.2500 0.5000
0.9178 0.9178 0.0000
0.5000 0.5000 0.0000
```

=====

Record 3
First-principles (GGA-PBE) data for a geometry-optimized KBe2Zn structure, as listed in Alexandria.

Properties
Magnetic moment (μB per formula unit): 0.0
Final energy (eV per formula unit): -5.19

```
KBe2Zn
1.0
4.3145 0.0000 0.0000
0.0000 4.3145 0.0000
0.0000 0.0000 4.3630
K Be Zn
1 2 1
direct
0.0000 0.0000 0.0000
0.0000 0.5000 0.5000
0.5000 0.0000 0.5000
0.5000 0.5000 0.0000
```